1.
A plane-wave DFT calculation with PBE-GGA was carried out for an optimized crystal structure of La2HgGe3.

Its formation energy is -384.5 kJ/mol of formula units. As for the total energy: -0.34291 Ry/atom.

It has space group Pnma (No. 62), with a = 7.0670 Å, b = 4.5075 Å, c = 19.0942 Å, α = 90.00°, β = 90.00° and γ = 90.00°. The inequivalent atoms are La at (0.1911, 0.2500, 0.0833), La at (0.1964, 0.2500, 0.2995), Hg at (0.0606, 0.7500, 0.4331), Ge at (0.0112, 0.7500, 0.1835), Ge at (0.1291, 0.2500, 0.6934) and Ge at (0.2383, 0.7500, 0.9656).

***

2.
A plane-wave DFT calculation with PBE-GGA was carried out for an optimized crystal structure of NdLuPdAu.

Its formation energy is -315.1 kJ/mol of formula units. As for the total energy: -0.38632 Ry/atom.

It has space group F-43m (No. 216), with a = 7.1692 Å, b = 7.1692 Å, c = 7.1692 Å, α = 90.00°, β = 90.00° and γ = 90.00°. The inequivalent atoms are Nd at (0.0000, 0.0000, 0.0000), Lu at (0.0000, 0.0000, 0.5000), Pd at (0.2500, 0.2500, 0.7500) and Au at (0.2500, 0.2500, 0.2500).

***

3.
A plane-wave DFT calculation with PBE-GGA was carried out for an optimized crystal structure of BaIn2Au4.

Its formation energy is -284.2 kJ/mol of formula units. As for the total energy: -0.24627 Ry/atom.

It has space group I4/mcm (No. 140), with a = 8.8951 Å, b = 8.8951 Å, c = 8.5708 Å, α = 90.00°, β = 90.00° and γ = 90.00°. The inequivalent atoms are Ba at (0.0000, 0.0000, 0.2500), In at (0.1465, 0.3535, 0.0000) and Au at (0.1485, 0.3515, 0.3354).

***

4.
A plane-wave DFT calculation with PBE-GGA was carried out for an optimized crystal structure of Pm2Ho3Sn4.

Its formation energy is -530.2 kJ/mol of formula units. As for the total energy: -0.36538 Ry/atom.

It has space group Cmce (No. 64), with a = 6.9952 Å, b = 17.0563 Å, c = 8.9285 Å, α = 90.00°, β = 90.00° and γ = 90.00°. The inequivalent atoms are Pm at (0.0000, 0.1112, 0.0896), Ho at (0.0000, 0.0000, 0.5000), Ho at (0.2500, 0.2064, 0.7500), Sn at (0.0000, 0.1864, 0.4448) and Sn at (0.2500, 0.0302, 0.7500).